Here is a geometry-optimized AsAu2Cl structure from the Alexandria database. Energies are from PBE-GGA.

Output
Its calculated density is 10.014 g/cm3.

The structure in extended XYZ format:
```
4
Lattice="1.8386 1.0615 7.1410 -1.8386 1.0615 7.1410 0.0000 -2.1231 7.1410" Properties=species:S:1:pos:R:3 pbc="T T T"
As 0.0000 0.0000 0.0000
Au 0.0000 0.0000 5.5364
Au 0.0000 0.0000 15.8865
Cl 0.0000 0.0000 10.7114
```

=====

Here is a geometry-optimized As2AuCl structure from the Alexandria database. Energies are from PBE-GGA.

Output
Its calculated density is 6.867 g/cm3.

The structure in extended XYZ format:
```
4
Lattice="2.0905 1.2069 6.1057 -2.0905 1.2069 6.1057 0.0000 -2.4139 6.1057" Properties=species:S:1:pos:R:3 pbc="T T T"
As 0.0000 0.0000 4.0584
As 0.0000 0.0000 14.2586
Au 0.0000 0.0000 9.1585
Cl 0.0000 0.0000 0.0000
```

=====

Here is a geometry-optimized AsAuCl2 structure from the Alexandria database. Energies are from PBE-GGA.

Output
Its calculated density is 6.598 g/cm3.

The structure in extended XYZ format:
```
4
Lattice="1.6564 0.9563 9.0777 -1.6564 0.9563 9.0777 0.0000 -1.9126 9.0777" Properties=species:S:1:pos:R:3 pbc="T T T"
As 0.0000 0.0000 0.0000
Au 0.0000 0.0000 13.6165
Cl 0.0000 0.0000 11.2581
Cl 0.0000 0.0000 15.9750
```

=====

Here is a geometry-optimized As2AuCl8 structure from the Alexandria database. Energies are from PBE-GGA.

Output
Its calculated density is 2.086 g/cm3.

The structure in extended XYZ format:
```
11
Lattice="7.4005 -4.5199 0.0000 7.4005 4.5199 0.0000 -4.8342 0.0000 7.5005" Properties=species:S:1:pos:R:3 pbc="T T T"
As 2.0254 0.0000 0.9622
As 7.9414 0.0000 6.5383
Au -2.4171 0.0000 3.7503
Cl 1.6489 2.8351 5.6469
Cl -1.1602 0.0000 5.5973
Cl 8.3178 2.8351 1.8536
Cl 3.8248 0.0000 2.2263
Cl 6.1420 0.0000 5.2742
Cl 1.6489 -2.8351 5.6469
Cl 11.1269 0.0000 1.9032
Cl 8.3178 -2.8351 1.8536
```

=====

Here is a geometry-optimized AsAu2Cl structure from the Alexandria database. Energies are from PBE-GGA.

Output
Its calculated density is 10.688 g/cm3.

The structure in extended XYZ format:
```
4
Lattice="2.7542 -4.6029 0.0000 2.7542 4.6029 0.0000 -0.0463 0.0000 3.0904" Properties=species:S:1:pos:R:3 pbc="T T T"
As 0.0000 0.0000 0.0000
Au 1.3539 2.3014 1.5452
Au 1.3539 -2.3014 1.5452
Cl 2.7542 0.0000 0.0000
```

=====

Here is a geometry-optimized As2AuCl structure from the Alexandria database. Energies are from PBE-GGA.

Output
Its calculated density is 7.008 g/cm3.

The structure in extended XYZ format:
```
4
Lattice="2.8385 0.0000 0.0000 0.0000 4.2186 0.0000 0.0000 0.0000 7.5643" Properties=species:S:1:pos:R:3 pbc="T T T"
As 0.0000 0.0000 1.3127
As 0.0000 0.0000 6.2515
Au 1.4192 2.1093 0.0000
Cl 1.4192 2.1093 3.7821
```

=====

Here is a geometry-optimized AsAu2Cl structure from the Alexandria database. Energies are from PBE-GGA.

Output
Its calculated density is 10.814 g/cm3.

The structure in extended XYZ format:
```
4
Lattice="-2.1835 2.1835 4.0603 2.1835 -2.1835 4.0603 2.1835 2.1835 -4.0603" Properties=species:S:1:pos:R:3 pbc="T T T"
As 0.0000 0.0000 0.0000
Au 2.1835 0.0000 2.0302
Au 0.0000 0.0000 4.0603
Cl 0.0000 2.1835 2.0302
```

=====

Here is a geometry-optimized AsAu2Cl structure from the Alexandria database. Energies are from PBE-GGA.

Output
Its calculated density is 10.731 g/cm3.

The structure in extended XYZ format:
```
4
Lattice="0.0000 3.3918 3.3918 3.3918 0.0000 3.3918 3.3918 3.3918 0.0000" Properties=species:S:1:pos:R:3 pbc="T T T"
As 0.0000 0.0000 0.0000
Au 1.6959 1.6959 1.6959
Au 5.0877 5.0877 5.0877
Cl 3.3918 3.3918 3.3918
```

=====

Here is a geometry-optimized AsAuCl2 structure from the Alexandria database. Energies are from PBE-GGA.

Output
Its calculated density is 6.071 g/cm3.

The structure in extended XYZ format:
```
4
Lattice="1.6165 -2.7862 0.0000 1.6165 2.7862 0.0000 0.0000 0.0000 10.4085" Properties=species:S:1:pos:R:3 pbc="T T T"
As 0.0000 0.0000 0.0000
Au 0.0000 0.0000 5.2042
Cl 1.6165 0.0000 1.9216
Cl 1.6165 0.0000 8.4869
```

=====

Here is a geometry-optimized AsAu2Cl structure from the Alexandria database. Energies are from PBE-GGA.

Output
Its calculated density is 10.460 g/cm3.

The structure in extended XYZ format:
```
4
Lattice="3.9235 0.0000 0.0000 0.0000 3.9235 0.0000 0.0000 0.0000 5.2008" Properties=species:S:1:pos:R:3 pbc="T T T"
As 0.0000 0.0000 0.0000
Au 0.0000 1.9617 2.6004
Au 1.9617 0.0000 2.6004
Cl 1.9617 1.9617 0.0000
```

=====

Here is a geometry-optimized As2AuCl structure from the Alexandria database. Energies are from PBE-GGA.

Output
Its calculated density is 8.098 g/cm3.

The structure in extended XYZ format:
```
4
Lattice="1.5674 -2.7304 0.0000 1.5674 2.7304 0.0000 0.0000 0.0000 9.1585" Properties=species:S:1:pos:R:3 pbc="T T T"
As 0.0000 0.0000 2.2521
As 0.0000 0.0000 6.9064
Au 1.5674 0.0000 0.0000
Cl 1.5674 0.0000 4.5792
```

=====

Here is a geometry-optimized AsAu2Cl structure from the Alexandria database. Energies are from PBE-GGA.

Output
Its calculated density is 10.388 g/cm3.

The structure in extended XYZ format:
```
4
Lattice="-1.4952 2.3175 5.8161 1.4952 -2.3175 5.8161 1.4952 2.3175 -5.8161" Properties=species:S:1:pos:R:3 pbc="T T T"
As 0.0000 0.0000 0.0000
Au 1.4952 0.0000 2.4137
Au 0.0000 2.3175 3.4023
Cl 0.0000 0.0000 5.8161
```

=====

| no. | ΔE_f (raw) (meV per atom) |
| --- | --- |
| 1 | 18 |
| 2 | -5 |
| 3 | 148 |
| 4 | -504 |
| 5 | 317 |
| 6 | 191 |
| 7 | 405 |
| 8 | 484 |
| 9 | 165 |
| 10 | 395 |
| 11 | 248 |
| 12 | 205 |